(1)
Entry from Alexandria: an optimized crystal structure of CaZr2H (PBE).

Structure (POSCAR):
```
CaZr2H
1.0
2.558 1.461 3.969
-1.294 4.127 2.392
-2.036 -0.284 4.495
Zr Ca H
2 1 1
direct
0.750 0.750 0.750
0.250 0.250 0.250
0.500 0.500 0.500
0.000 0.000 0.000
```

Values from the calculation:
Fermi-level density of states: 7.23 states/eV/cell
VASP energy: -4.4576 eV per atom

***

(2)
Entry from Alexandria: an optimized crystal structure of CaHf4 (PBE).

Structure (POSCAR):
```
CaHf4
1.0
-2.381 -3.878 -2.014
3.281 -0.071 -3.741
2.887 -3.118 2.591
Hf Ca
4 1
direct
0.000 0.000 0.000
0.500 0.500 0.000
0.000 0.500 0.500
0.500 0.000 0.500
0.500 0.500 0.500
```

Values from the calculation:
Fermi-level density of states: 7.16 states/eV/cell
Formation enthalpy at 0 K: 1.71 eV/atom
VASP energy: -6.6554 eV per atom

***

(3)
Entry from Alexandria: an optimized crystal structure of Ca3HfHg (PBE).

Structure (POSCAR):
```
Ca3HfHg
1.0
5.860 0.000 0.000
0.000 5.860 0.000
0.000 0.000 5.860
Ca Hg Hf
3 1 1
direct
0.500 0.000 0.000
0.000 0.500 0.000
0.000 0.000 0.500
0.500 0.500 0.500
0.000 0.000 0.000
```

Values from the calculation:
Fermi-level density of states: 10.62 states/eV/cell
Formation enthalpy at 0 K: 0.90 eV/atom
VASP energy: -2.3554 eV per atom

***

(4)
Entry from Alexandria: an optimized crystal structure of CaHf2Hg2 (PBE).

Structure (POSCAR):
```
CaHf2Hg2
1.0
8.605 0.000 0.000
0.000 8.605 0.000
0.000 0.000 3.272
Hf Hg Ca
4 4 2
direct
0.630 0.870 0.500
0.370 0.130 0.500
0.870 0.370 0.500
0.130 0.630 0.500
0.169 0.331 0.000
0.331 0.831 0.000
0.831 0.669 0.000
0.669 0.169 0.000
0.500 0.500 0.000
0.000 0.000 0.000
```

Values from the calculation:
Fermi-level density of states: 8.47 states/eV/cell
Formation enthalpy at 0 K: 0.04 eV/atom
VASP energy: -4.4604 eV per atom

***

(5)
Entry from Alexandria: an optimized crystal structure of CaHfHg2 (PBE).

Structure (POSCAR):
```
CaHfHg2
1.0
-4.944 -5.664 -2.384
3.860 -5.243 4.452
-2.676 -4.729 3.738
Hf Hg Ca
2 4 2
direct
0.000 0.000 0.000
0.750 0.250 0.500
0.651 0.125 0.250
0.099 0.625 0.250
0.875 0.901 0.750
0.375 0.349 0.750
0.250 0.750 0.500
0.500 0.500 0.000
```

Values from the calculation:
Fermi-level density of states: 2.81 states/eV/cell
Formation enthalpy at 0 K: 0.14 eV/atom
VASP energy: -3.0041 eV per atom

***

(6)
Entry from Alexandria: an optimized crystal structure of Ca2HfHg (PBE).

Structure (POSCAR):
```
Ca2HfHg
1.0
8.661 0.000 0.000
0.000 8.661 0.000
4.330 4.330 3.145
Ca Hg Hf
4 2 2
direct
0.375 0.338 0.750
0.875 0.912 0.750
0.662 0.125 0.250
0.088 0.625 0.250
0.750 0.250 0.500
0.000 0.000 0.000
0.250 0.750 0.500
0.500 0.500 0.000
```

Values from the calculation:
Fermi-level density of states: 14.35 states/eV/cell
Formation enthalpy at 0 K: 0.41 eV/atom
VASP energy: -3.1503 eV per atom

***

(7)
Entry from Alexandria: an optimized crystal structure of CaHfHg2 (PBE).

Structure (POSCAR):
```
CaHfHg2
1.0
1.592 -4.073 -2.662
-3.340 -2.704 -2.783
0.180 0.195 -5.113
Hf Ca Hg
1 1 2
direct
0.500 0.500 0.500
0.000 0.000 0.000
0.750 0.750 0.750
0.250 0.250 0.250
```

Values from the calculation:
Fermi-level density of states: 1.92 states/eV/cell
Formation enthalpy at 0 K: -0.14 eV/atom
VASP energy: -3.2777 eV per atom

***

(8)
Entry from Alexandria: an optimized crystal structure of Ca3HfHg (PBE).

Structure (POSCAR):
```
Ca3HfHg
1.0
5.733 0.000 0.000
0.000 5.733 0.000
0.000 0.000 5.733
Hf Ca Hg
1 3 1
direct
0.500 0.500 0.500
0.500 0.000 0.000
0.000 0.500 0.000
0.000 0.000 0.500
0.000 0.000 0.000
```

Values from the calculation:
Fermi-level density of states: 7.09 states/eV/cell
Formation enthalpy at 0 K: 0.56 eV/atom
VASP energy: -2.6950 eV per atom

***

(9)
Entry from Alexandria: an optimized crystal structure of CaHf2Hg2 (PBE).

Structure (POSCAR):
```
CaHf2Hg2
1.0
8.688 0.000 0.000
0.000 8.688 0.000
0.000 0.000 3.154
Hg Ca Hf
4 2 4
direct
0.678 0.822 0.500
0.178 0.678 0.500
0.822 0.322 0.500
0.322 0.178 0.500
0.500 0.500 0.000
0.000 0.000 0.000
0.881 0.619 0.000
0.619 0.119 0.000
0.119 0.381 0.000
0.381 0.881 0.000
```

Values from the calculation:
Fermi-level density of states: 7.43 states/eV/cell
Formation enthalpy at 0 K: 0.04 eV/atom
VASP energy: -4.4603 eV per atom

***

(10)
Entry from Alexandria: an optimized crystal structure of CaHfHg2 (PBE).

Structure (POSCAR):
```
CaHfHg2
1.0
-1.132 2.709 2.020
-3.369 -0.738 -0.898
-0.555 -4.616 5.878
Hg Ca Hf
2 1 1
direct
0.000 0.000 0.775
0.000 0.000 0.225
0.500 0.500 0.500
0.500 0.500 0.000
```

Values from the calculation:
Fermi-level density of states: 1.58 states/eV/cell
Formation enthalpy at 0 K: -0.22 eV/atom
VASP energy: -3.3623 eV per atom

***

(11)
Entry from Alexandria: an optimized crystal structure of Ca2HfHg2 (PBE).

Structure (POSCAR):
```
Ca2HfHg2
1.0
-6.285 5.187 0.026
-5.181 -6.280 0.366
0.126 0.132 4.038
Hg Hf Ca
4 2 4
direct
0.854 0.646 0.000
0.354 0.854 0.000
0.146 0.354 0.000
0.646 0.146 0.000
0.500 0.500 0.000
0.000 0.000 0.000
0.160 0.660 0.500
0.840 0.340 0.500
0.660 0.840 0.500
0.340 0.160 0.500
```

Values from the calculation:
Fermi-level density of states: 12.14 states/eV/cell
Formation enthalpy at 0 K: -0.09 eV/atom
VASP energy: -3.0053 eV per atom

***

(12)
Entry from Alexandria: an optimized crystal structure of KCaHf2Hg (PBE).

Structure (POSCAR):
```
KCaHf2Hg
1.0
5.395 0.000 0.000
0.000 6.087 0.000
0.000 0.000 5.395
Hg K Hf Ca
1 1 2 1
direct
0.000 0.000 0.000
0.000 0.500 0.000
0.000 0.000 0.500
0.500 0.000 0.000
0.500 0.500 0.500
```

Values from the calculation:
Fermi-level density of states: 8.72 states/eV/cell
Formation enthalpy at 0 K: 0.94 eV/atom
VASP energy: -3.7234 eV per atom

***

(13)
Entry from Alexandria: an optimized crystal structure of CaHf2HgO (PBE).

Structure (POSCAR):
```
CaHf2HgO
1.0
5.550 0.000 0.000
0.000 4.285 0.000
0.000 0.000 5.550
Hf Hg Ca O
2 1 1 1
direct
0.500 0.000 0.000
0.000 0.000 0.500
0.000 0.000 0.000
0.500 0.500 0.500
0.000 0.500 0.000
```

Values from the calculation:
Fermi-level density of states: 8.90 states/eV/cell
VASP energy: -4.4180 eV per atom

***

(14)
Entry from Alexandria: an optimized crystal structure of Ca2HfHgRh (PBE).

Structure (POSCAR):
```
Ca2HfHgRh
1.0
6.076 0.000 0.000
0.000 4.629 0.000
0.000 0.000 6.076
Ca Hf Hg Rh
2 1 1 1
direct
0.500 0.000 0.000
0.000 0.000 0.500
0.000 0.000 0.000
0.500 0.500 0.500
0.000 0.500 0.000
```

Values from the calculation:
Fermi-level density of states: 7.08 states/eV/cell
Formation enthalpy at 0 K: 0.56 eV/atom
VASP energy: -3.7659 eV per atom

***

(15)
Entry from Alexandria: an optimized crystal structure of Ca2HfTcHg (PBE).

Structure (POSCAR):
```
Ca2HfTcHg
1.0
5.125 0.000 0.000
0.000 5.362 0.000
0.000 0.000 5.125
Tc Hg Hf Ca
1 1 1 2
direct
0.000 0.000 0.000
0.000 0.500 0.000
0.500 0.500 0.500
0.500 0.000 0.000
0.000 0.000 0.500
```

Values from the calculation:
Fermi-level density of states: 10.06 states/eV/cell
Formation enthalpy at 0 K: 1.08 eV/atom
VASP energy: -3.8464 eV per atom

***

(16)
Entry from Alexandria: an optimized crystal structure of CaHf2HgW (PBE).

Structure (POSCAR):
```
CaHf2HgW
1.0
-3.063 -1.113 4.066
-3.096 -2.707 -3.074
2.810 -4.285 0.944
Hg W Hf Ca
1 1 2 1
direct
0.000 0.000 0.000
0.500 0.500 0.500
0.500 0.000 0.000
0.000 0.000 0.500
0.000 0.500 0.000
```

Values from the calculation:
Fermi-level density of states: 8.40 states/eV/cell
Formation enthalpy at 0 K: 1.68 eV/atom
VASP energy: -5.3488 eV per atom

***

(17)
Entry from Alexandria: an optimized crystal structure of Ca2HoHf (PBE).

Structure (POSCAR):
```
Ca2HoHf
1.0
3.369 0.000 0.000
1.684 2.917 0.000
1.684 0.972 12.729
Ca Ho Hf
2 1 1
direct
0.085 0.085 0.745
0.915 0.915 0.255
0.500 0.500 0.500
0.000 0.000 0.000
```

Values from the calculation:
Fermi-level density of states: 7.44 states/eV/cell
Formation enthalpy at 0 K: 0.52 eV/atom
VASP energy: -4.1089 eV per atom

***

(18)
Entry from Alexandria: an optimized crystal structure of CaHo2HfO6 (PBE).

Structure (POSCAR):
```
CaHo2HfO6
1.0
-2.730 3.653 -3.427
-2.765 -1.929 -4.602
-5.993 0.027 0.054
O Ho Ca Hf
6 2 1 1
direct
0.696 0.140 0.764
0.593 0.219 0.242
0.219 0.946 0.242
0.140 0.401 0.764
0.946 0.593 0.242
0.401 0.696 0.764
0.023 0.023 0.932
0.526 0.526 0.423
0.804 0.804 0.588
0.315 0.315 0.055
```

Values from the calculation:
Fermi-level density of states: 0.00 states/eV/cell
VASP energy: -8.5500 eV per atom

***

(19)
Entry from Alexandria: an optimized crystal structure of Ca2HoHfP4 (PBE).

Structure (POSCAR):
```
Ca2HoHfP4
1.0
-2.195 2.705 1.799
2.694 -1.810 6.009
3.963 5.080 -2.804
P Ho Hf Ca
4 1 1 2
direct
0.500 0.229 0.224
0.500 0.771 0.776
0.000 0.757 0.230
0.000 0.243 0.770
0.500 0.500 0.000
0.000 0.000 0.000
0.000 0.500 0.500
0.500 0.000 0.500
```

Values from the calculation:
Fermi-level density of states: 3.56 states/eV/cell
Formation enthalpy at 0 K: -1.23 eV/atom
VASP energy: -6.2529 eV per atom

***

(20)
Entry from Alexandria: an optimized crystal structure of Ca3HoHf2P6 (PBE).

Structure (POSCAR):
```
Ca3HoHf2P6
1.0
-6.053 -1.229 2.728
1.349 -2.038 -6.295
3.814 -4.697 3.551
Hf P Ca Ho
2 6 3 1
direct
0.667 0.333 0.000
0.333 0.667 0.000
0.272 0.272 0.776
0.422 0.076 0.226
0.924 0.578 0.774
0.728 0.728 0.224
0.076 0.422 0.226
0.578 0.924 0.774
0.837 0.163 0.500
0.500 0.500 0.500
0.163 0.837 0.500
0.000 0.000 0.000
```

Values from the calculation:
Fermi-level density of states: 4.08 states/eV/cell
Formation enthalpy at 0 K: -1.25 eV/atom
VASP energy: -6.4947 eV per atom

***

(21)
Entry from Alexandria: an optimized crystal structure of Ca3HfI (PBE).

Structure (POSCAR):
```
Ca3HfI
1.0
5.803 0.000 0.000
0.000 5.803 0.000
0.000 0.000 5.803
Ca I Hf
3 1 1
direct
0.000 0.500 0.000
0.500 0.000 0.000
0.000 0.000 0.500
0.000 0.000 0.000
0.500 0.500 0.500
```

Values from the calculation:
Fermi-level density of states: 3.59 states/eV/cell
VASP energy: -3.0056 eV per atom

***

(22)
Entry from Alexandria: an optimized crystal structure of CaHfI6 (PBE).

Structure (POSCAR):
```
CaHfI6
1.0
7.819 -0.749 -1.075
-3.084 7.224 -1.075
0.869 1.189 7.410
I Ca Hf
6 1 1
direct
0.009 0.710 0.769
0.719 0.719 0.201
0.290 0.991 0.231
0.710 0.009 0.769
0.991 0.290 0.231
0.281 0.281 0.799
0.000 0.000 0.500
0.000 0.000 0.000
```

Values from the calculation:
Fermi-level density of states: 0.00 states/eV/cell
VASP energy: -3.8058 eV per atom

***

(23)
Entry from Alexandria: an optimized crystal structure of Ca3HfI (PBE).

Structure (POSCAR):
```
Ca3HfI
1.0
-3.657 4.448 -2.213
-4.931 -3.585 0.943
-0.606 2.328 5.681
Ca I Hf
3 1 1
direct
0.000 0.500 0.000
0.500 0.000 0.000
0.000 0.000 0.500
0.500 0.500 0.500
0.000 0.000 0.000
```

Values from the calculation:
Fermi-level density of states: 3.68 states/eV/cell
VASP energy: -2.8382 eV per atom

***

(24)
Entry from Alexandria: an optimized crystal structure of Ca2HfI (PBE).

Structure (POSCAR):
```
Ca2HfI
1.0
8.890 0.000 0.000
0.000 8.890 0.000
4.445 4.445 3.278
Hf I Ca
2 2 4
direct
0.000 0.000 0.000
0.750 0.250 0.500
0.500 0.500 0.000
0.250 0.750 0.500
0.595 0.125 0.250
0.155 0.625 0.250
0.875 0.845 0.750
0.375 0.405 0.750
```

Values from the calculation:
Fermi-level density of states: 10.68 states/eV/cell
VASP energy: -3.5058 eV per atom

***

(25)
Entry from Alexandria: an optimized crystal structure of Ca2HfI (PBE).

Structure (POSCAR):
```
Ca2HfI
1.0
-1.926 -3.012 4.433
-5.193 -2.330 -0.182
-0.573 -5.649 -0.429
Ca Hf I
2 1 1
direct
0.250 0.250 0.250
0.750 0.750 0.750
0.500 0.500 0.500
0.000 0.000 0.000
```

Values from the calculation:
Fermi-level density of states: 5.57 states/eV/cell
VASP energy: -3.4621 eV per atom

***

(26)
Entry from Alexandria: an optimized crystal structure of CaHf2InI (PBE).

Structure (POSCAR):
```
CaHf2InI
1.0
5.354 0.000 0.000
0.000 5.713 0.000
0.000 0.000 5.354
Hf In Ca I
2 1 1 1
direct
0.000 0.000 0.500
0.500 0.000 0.000
0.000 0.500 0.000
0.000 0.000 0.000
0.500 0.500 0.500
```

Values from the calculation:
Fermi-level density of states: 5.35 states/eV/cell
VASP energy: -3.7604 eV per atom

***

(27)
Entry from Alexandria: an optimized crystal structure of CaHf2IrI (PBE).

Structure (POSCAR):
```
CaHf2IrI
1.0
-0.074 4.000 -3.009
-4.955 1.960 2.728
2.808 2.524 3.287
I Ir Ca Hf
1 1 1 2
direct
0.500 0.500 0.500
0.000 0.000 0.000
0.000 0.500 0.000
0.000 0.000 0.500
0.500 0.000 0.000
```

Values from the calculation:
Fermi-level density of states: 4.33 states/eV/cell
VASP energy: -6.5314 eV per atom